Record 1
VASP calculation (GGA-PBE) on crystalline YTi2PdCl at its relaxed geometry.

## Properties
* Fermi-level density of states: 3.88 states/eV per cell
* E_form (uncorrected): -30 kJ/mol of formula units
* energy relative to the lowest polymorph listed for this composition: 0.000 eV per atom

Unit cell a=4.524 b=4.524 c=4.858 alpha=90.00 beta=90.00 gamma=90.00
Fractional positions:
Y 0.000 0.000 0.000
Ti 0.000 0.500 0.500
Ti 0.500 0.000 0.500
Pd 0.500 0.500 0.000
Cl 0.500 0.500 0.500



Record 2
VASP calculation (GGA-PBE) on crystalline SiBPt2S at its relaxed geometry.

## Properties
* Fermi-level density of states: 2.54 states/eV per cell
* E_form (uncorrected): 229 kJ/mol of formula units
* energy relative to the lowest polymorph listed for this composition: 0.000 eV per atom

Unit cell a=4.075 b=4.075 c=4.896 alpha=90.00 beta=90.00 gamma=90.00
Fractional positions:
Si 0.000 0.000 0.000
B 0.500 0.500 0.500
Pt 0.000 0.500 0.500
Pt 0.500 0.000 0.500
S 0.500 0.500 0.000



Record 3
VASP calculation (GGA-PBE) on crystalline LiZr4Pa3N8 at its relaxed geometry.

## Properties
* Fermi-level density of states: 5.38 states/eV per cell
* E_form (uncorrected): -2453 kJ/mol of formula units

Unit cell a=6.745 b=6.745 c=6.745 alpha=59.00 beta=59.00 gamma=59.00
Fractional positions:
Li 0.000 0.000 0.000
Zr 0.000 0.000 0.500
Zr 0.000 0.500 0.000
Zr 0.500 0.000 0.000
Zr 0.500 0.500 0.500
Pa 0.000 0.500 0.500
Pa 0.500 0.000 0.500
Pa 0.500 0.500 0.000
N 0.244 0.244 0.244
N 0.250 0.745 0.745
N 0.255 0.255 0.750
N 0.255 0.750 0.255
N 0.745 0.250 0.745
N 0.745 0.745 0.250
N 0.750 0.255 0.255
N 0.756 0.756 0.756



Q: Which value of E_form (uncorrected) does entry 3 give?
A: -2453 kJ/mol of formula units



Q: Which value of E_form (uncorrected) does entry 3 give?
A: -2453 kJ/mol of formula units



Q: The lowest Fermi-level density of states belongs to which entry?
A: SiBPt2S